# 1
Compound: NaTl2ZnHg
Source: the Alexandria database
Functional: PBE-GGA
Structure: relaxed

Geometry as POSCAR:
```
NaTl2ZnHg
1.0
5.410 0.000 0.000
0.000 5.410 0.000
0.000 0.000 5.289
Na Tl Zn Hg
1 2 1 1
direct
0.000 0.000 0.000 Na
0.000 0.500 0.500 Tl
0.500 0.000 0.500 Tl
0.500 0.500 0.500 Zn
0.500 0.500 0.000 Hg
```

Computed properties:
- ΔE_f (eV per formula unit) = 0.45
- calculated volume (Å³ per cell) = 155
- electronic total energy (eV/atom) = -1.435

# 2
Compound: RbCrOs3
Source: the Alexandria database
Functional: PBE-GGA
Structure: relaxed

Geometry as POSCAR:
```
RbCrOs3
1.0
4.647 0.000 0.000
0.000 4.647 0.000
0.000 0.000 4.647
Rb Cr Os
1 1 3
direct
0.000 0.000 0.000 Rb
0.500 0.500 0.500 Cr
0.000 0.000 0.500 Os
0.000 0.500 0.000 Os
0.500 0.000 0.000 Os
```

Computed properties:
- ΔE_f (eV per formula unit) = 21.87
- calculated volume (Å³ per cell) = 100
- electronic total energy (eV/atom) = -4.481

# 3
Compound: Rb3AuI2
Source: the Alexandria database
Functional: PBE-GGA
Structure: relaxed

Geometry as POSCAR:
```
Rb3AuI2
1.0
-2.608 2.608 11.045
2.608 -2.608 11.045
2.608 2.608 -11.045
Rb Au I
3 1 2
direct
0.000 0.000 0.000 Rb
0.337 0.337 0.000 Rb
0.663 0.663 0.000 Rb
0.500 0.500 0.000 Au
0.167 0.167 0.000 I
0.833 0.833 0.000 I
```

Computed properties:
- ΔE_f (raw) (eV per atom) = -1.0812
- calculated volume (Å³ per cell) = 300
- electronic total energy (eV/atom) = -2.628

# 4
Compound: RbSnHg2H
Source: the Alexandria database
Functional: PBE-GGA
Structure: relaxed

Geometry as POSCAR:
```
RbSnHg2H
1.0
6.059 0.000 0.000
0.000 6.059 0.000
0.000 0.000 4.060
Rb Sn Hg H
1 1 2 1
direct
0.000 0.000 0.000 Rb
0.500 0.500 0.500 Sn
0.000 0.500 0.500 Hg
0.500 0.000 0.500 Hg
0.500 0.500 0.000 H
```

Computed properties:
- calculated volume (Å³ per cell) = 149
- electronic total energy (eV/atom) = -1.733